*1*
A geometry-optimized BOsW structure, computed with GGA-PBE.

Summary:
Calculated volume   74.6 Å³ per cell

Unit cell a=4.1572 b=4.1731 c=4.5562 alpha=76.40 beta=76.18 gamma=88.48
Closest atoms and distances in Å follow each position.
Space group P1 (No. 1)
One atom of each set of equivalent atoms:
B  0.0000  0.0000  0.0000 x1  3 Os 2.20-2.25, 3 W 2.25-2.28
B  0.4886  0.4920  0.9976 x1  3 Os 2.18-2.25, 3 W 2.24-2.28
Os  0.3349  0.3490  0.6199 x1  2 B 2.18-2.20
Os  0.4467  0.9489  0.1853 x1  4 B 2.20-2.25
W  0.8399  0.8465  0.6072 x1  2 B 2.26-2.28
W  0.9420  0.4469  0.2030 x1  4 B 2.24-2.28

---

*2*
A geometry-optimized BOsW structure, computed with GGA-PBE.

Summary:
Calculated volume   143.8 Å³ per cell

Unit cell a=11.3403 b=2.8921 c=4.4886 alpha=90.00 beta=102.44 gamma=90.00
Closest atoms and distances in Å follow each position.
Space group Cm (No. 8)
One atom of each set of equivalent atoms:
B  0.0000  0.0000  0.0000 x2  2 B 1.80
B  0.0369  0.5000  0.2418 x2  2 B 1.80
Os  0.1230  0.5000  0.8114 x2  4 B 2.29-2.53
Os  0.3391  0.0000  0.9262 x2  3 B 2.30-2.38
W  0.2012  0.0000  0.3513 x2  3 B 2.33-2.48
W  0.4217  0.5000  0.4589 x2  4 B 2.30-2.41

---

The least stable of them is *1*.

---

*1*
A geometry-optimized BOsW structure, computed with GGA-PBE.

Summary:
Calculated volume   75.0 Å³ per cell

Unit cell a=4.0837 b=4.2904 c=4.5802 alpha=74.75 beta=75.97 gamma=88.63
Closest atoms and distances in Å follow each position.
Space group P-1 (No. 2)
One atom of each set of equivalent atoms:
B  0.1078  0.3386  0.1083 x2  1 B 1.82
Os  0.4524  0.6924  0.7018 x2  3 B 2.16-2.26
W  0.0576  0.8052  0.2915 x2  3 B 2.22-2.35

---

*2*
A geometry-optimized BOsW structure, computed with GGA-PBE.

Summary:
Calculated volume   74.4 Å³ per cell

Unit cell a=2.8374 b=2.9284 c=8.9592 alpha=90.00 beta=90.00 gamma=90.00
Closest atoms and distances in Å follow each position.
Space group Amm2 (No. 38)
One atom of each set of equivalent atoms:
B  0.0000  0.0000  0.0000 x2  4 Os 2.21, 2 W 2.25
Os  0.5000  0.0000  0.4056 x2  4 B 2.21
W  0.0000  0.0000  0.6910 x2  2 B 2.25

---

The least stable of them is *1*.

---

*1*
A geometry-optimized BOsW structure, computed with GGA-PBE.

Summary:
Calculated volume   143.3 Å³ per cell

Unit cell a=11.0225 b=2.9203 c=4.5547 alpha=90.00 beta=102.21 gamma=90.00
Closest atoms and distances in Å follow each position.
Space group C2/m (No. 12)
One atom of each set of equivalent atoms:
B  0.2322  0.0000  0.3804 x4  2 B 1.81
Os  0.0738  0.5000  0.2851 x4  3 B 2.25-2.35
W  0.1447  0.0000  0.8227 x4  4 B 2.31-2.52

---

*2*
A geometry-optimized BOsW structure, computed with GGA-PBE.

Summary:
Calculated volume   144.6 Å³ per cell

Unit cell a=9.8600 b=2.8659 c=6.4100 alpha=90.00 beta=127.06 gamma=90.00
Closest atoms and distances in Å follow each position.
Space group Cm (No. 8)
One atom of each set of equivalent atoms:
B  0.0000  0.0000  0.0000 x2  1 B 2.07, 2 Os 2.28, 3 W 2.28
B  0.2331  0.0000  0.3641 x2  1 B 2.07, 3 Os 2.25-2.29
Os  0.2089  0.5000  0.0733 x2  4 B 2.25-2.31
Os  0.2769  0.0000  0.7586 x2  3 B 2.28-2.29
W  0.0197  0.5000  0.2949 x2  4 B 2.28-2.36
W  0.4640  0.5000  0.6139 x2  3 B 2.28-2.33

---

*3*
A geometry-optimized BOsW structure, computed with GGA-PBE.

Summary:
Calculated volume   145.0 Å³ per cell

Unit cell a=9.9871 b=2.8338 c=6.4169 alpha=90.00 beta=127.04 gamma=90.00
Closest atoms and distances in Å follow each position.
Space group C2/m (No. 12)
One atom of each set of equivalent atoms:
B  0.1068  0.0000  0.1771 x4  1 B 1.97
Os  0.0924  0.5000  0.8875 x4  4 B 2.27
W  0.1550  0.0000  0.5782 x4  3 B 2.32-2.37

---

The least stable of them is *2*.

---

*1*
A geometry-optimized B2OsW2 structure, computed with GGA-PBE.

Summary:
Calculated volume   115.3 Å³ per cell

Unit cell a=5.5867 b=5.5867 c=3.6945 alpha=90.00 beta=90.00 gamma=90.00
Closest atoms and distances in Å follow each position.
Space group P4/mbm (No. 127)
One atom of each set of equivalent atoms:
B  0.1167  0.3833  0.0000 x4  1 B 1.84
Os  0.0000  0.0000  0.0000 x2  4 B 2.24
W  0.1703  0.6703  0.5000 x4  6 B 2.46-2.50, 1 W 2.69

---

*2*
A geometry-optimized B2OsW2 structure, computed with GGA-PBE.

Summary:
Calculated volume   227.9 Å³ per cell

Unit cell a=7.6125 b=9.6796 c=3.0930 alpha=90.00 beta=90.00 gamma=90.00
Closest atoms and distances in Å follow each position.
Space group Pnnm (No. 58)
One atom of each set of equivalent atoms:
B  0.1146  0.0396  0.0000 x4  2 B 1.86-1.91
B  0.1239  0.2320  0.0000 x4  1 B 1.86
Os  0.1181  0.3925  0.5000 x4  2 B 2.19
W  0.0746  0.8601  0.5000 x4  6 B 2.33-2.35
W  0.1931  0.6305  0.0000 x4  4 B 2.30

---

*3*
A geometry-optimized B2OsW2 structure, computed with GGA-PBE.

Summary:
Calculated volume   228.2 Å³ per cell

Unit cell a=5.8907 b=5.8907 c=6.5767 alpha=90.00 beta=90.00 gamma=90.00
Closest atoms and distances in Å follow each position.
Space group P4/mnc (No. 128)
One atom of each set of equivalent atoms:
B  0.1138  0.3862  0.2500 x8  1 B 1.90
Os  0.0000  0.0000  0.2105 x4  4 B 2.39
W  0.1540  0.6933  0.5000 x8  6 B 2.33-2.46

---

The least stable of them is *1*.

---

*1*
A geometry-optimized B3OsW structure, computed with GGA-PBE.

Summary:
Calculated volume   63.3 Å³ per cell

Unit cell a=3.9854 b=3.9854 c=3.9854 alpha=90.00 beta=90.00 gamma=90.00
Closest atoms and distances in Å follow each position.
Space group Pm-3m (No. 221)
One atom of each set of equivalent atoms:
B  0.0000  0.0000  0.5000 x3  2 Os 1.99
Os  0.0000  0.0000  0.0000 x1  6 B 1.99
W  0.5000  0.5000  0.5000 x1  12 B 2.82

---

*2*
A geometry-optimized B3OsW structure, computed with GGA-PBE.

Summary:
Calculated volume   65.3 Å³ per cell

Unit cell a=4.0272 b=4.0272 c=4.0272 alpha=90.00 beta=90.00 gamma=90.00
Closest atoms and distances in Å follow each position.
Space group Pm-3m (No. 221)
One atom of each set of equivalent atoms:
B  0.0000  0.0000  0.5000 x3  2 W 2.01
Os  0.5000  0.5000  0.5000 x1  12 B 2.85
W  0.0000  0.0000  0.0000 x1  6 B 2.01

---

The least stable of them is *2*.

---

*1*
A geometry-optimized B2OsW structure, computed with GGA-PBE.

Summary:
Calculated volume   169.5 Å³ per cell

Unit cell a=5.5344 b=5.5344 c=5.5344 alpha=90.00 beta=90.00 gamma=90.00
Closest atoms and distances in Å follow each position.
Space group Fm-3m (No. 225)
One atom of each set of equivalent atoms:
B  0.2500  0.2500  0.2500 x8  4 W 2.40, 4 Os 2.40
Os  0.0000  0.0000  0.0000 x4  8 B 2.40
W  0.0000  0.0000  0.5000 x4  8 B 2.40

---

*2*
A geometry-optimized B2OsW structure, computed with GGA-PBE.

Summary:
Calculated volume   132.2 Å³ per cell

Unit cell a=3.2925 b=3.2925 c=14.0771 alpha=90.00 beta=90.00 gamma=120.00
Closest atoms and distances in Å follow each position.
Space group R-3m (No. 166, hexagonal axes)
One atom of each set of equivalent atoms:
B  0.0000  0.0000  0.2439 x6  3 Os 2.19, 3 W 2.28
Os  0.0000  0.0000  0.5000 x3  6 B 2.19
W  0.0000  0.0000  0.0000 x3  6 B 2.28

---

The least stable of them is *1*.

---

*1*
A geometry-optimized YBOs structure, computed with GGA-PBE.

Summary:
Calculated volume   50.1 Å³ per cell

Unit cell a=3.6639 b=3.6639 c=4.3062 alpha=90.00 beta=90.00 gamma=120.00
Closest atoms and distances in Å follow each position.
Space group P-6m2 (No. 187)
One atom of each set of equivalent atoms:
Y  0.0000  0.0000  0.0000 x1  6 Os 3.02, 6 B 3.02
B  0.3333  0.6667  0.5000 x1  3 Os 2.12
Os  0.6667  0.3333  0.5000 x1  3 B 2.12

---

*2*
A geometry-optimized YBOs structure, computed with GGA-PBE.

Summary:
Calculated volume   219.0 Å³ per cell

Unit cell a=3.8810 b=3.8810 c=14.5393 alpha=90.00 beta=90.00 gamma=90.00
Closest atoms and distances in Å follow each position.
Space group I4/mmm (No. 139)
One atom of each set of equivalent atoms:
Y  0.0000  0.0000  0.1498 x4  4 Os 2.92, 4 B 2.95
B  0.0000  0.0000  0.4240 x4  1 B 2.21, 4 Os 2.23
Os  0.0000  0.5000  0.0000 x4  4 B 2.23

---

The least stable of them is *2*.

---

*1*
A geometry-optimized B2P structure, computed with GGA-PBE.

Summary:
Calculated volume   118.6 Å³ per cell

Unit cell a=3.1640 b=7.7501 c=4.8374 alpha=90.00 beta=90.00 gamma=90.00
Closest atoms and distances in Å follow each position.
Space group Imm2 (No. 44)
One atom of each set of equivalent atoms:
B  0.0000  0.0000  0.0000 x2  4 B 1.76-1.86
B  0.0000  0.1280  0.3246 x4  2 B 1.86-1.98, 3 P 1.96-2.01
B  0.0000  0.5000  0.3428 x2  2 B 1.76, 2 P 1.95
P  0.0000  0.3251  0.0532 x4  4 B 1.95-2.01

---

*2*
A geometry-optimized B2P structure, computed with GGA-PBE.

Summary:
Calculated volume   118.8 Å³ per cell

Unit cell a=5.4517 b=3.1487 c=6.9227 alpha=90.00 beta=90.27 gamma=90.00
Closest atoms and distances in Å follow each position.
Space group Cm (No. 8)
One atom of each set of equivalent atoms:
B  0.0000  0.0000  0.0000 x2  4 P 1.94-1.99
B  0.0091  0.5000  0.6258 x2  4 B 1.79-1.88
B  0.1672  0.0000  0.6251 x2  4 B 1.79-1.86
B  0.3345  0.0000  0.3908 x2  2 B 1.86-1.88, 3 P 1.95-1.97
P  0.3359  0.0000  0.8995 x2  5 B 1.94-2.12
P  0.4980  0.5000  0.2869 x2  4 B 1.95-1.99

---

The least stable of them is *1*.